*P*
! GGA-PBE PmThCo2, relaxed; values from VASP
! Magnetic moment = 0.00 μB/cell
&SYSTEM
  ibrav = 0, nat = 4, ntyp = 3
/
ATOMIC_SPECIES
Co 58.93 Co.upf
Th 232.04 Th.upf
Pm 145.00 Pm.upf
CELL_PARAMETERS angstrom
3.852 0.000 0.000
1.926 3.336 0.000
1.926 1.112 6.817
ATOMIC_POSITIONS crystal
Co 0.080 0.080 0.761
Co 0.254 0.254 0.238
Th 0.670 0.670 0.991
Pm 0.497 0.497 0.510



*Q*
! GGA-PBE PmThCo2, relaxed; values from VASP
! Magnetic moment = 0.00 μB/cell
&SYSTEM
  ibrav = 0, nat = 4, ntyp = 3
/
ATOMIC_SPECIES
Th 232.04 Th.upf
Co 58.93 Co.upf
Pm 145.00 Pm.upf
CELL_PARAMETERS angstrom
-2.136 -3.700 -0.966
0.725 -3.625 2.350
-4.197 -1.122 3.647
ATOMIC_POSITIONS crystal
Th 0.500 0.500 0.500
Co 0.791 0.791 0.628
Co 0.209 0.209 0.372
Pm 0.000 0.000 0.000



*R*
! GGA-PBE PmThCo2, relaxed; values from VASP
! Magnetic moment = 0.00 μB/cell
&SYSTEM
  ibrav = 0, nat = 4, ntyp = 3
/
ATOMIC_SPECIES
Co 58.93 Co.upf
Pm 145.00 Pm.upf
Th 232.04 Th.upf
CELL_PARAMETERS angstrom
3.449 0.000 0.000
0.000 3.449 0.000
0.000 0.000 6.904
ATOMIC_POSITIONS crystal
Co 0.000 0.000 0.215
Co 0.000 0.000 0.785
Pm 0.500 0.500 0.500
Th 0.500 0.500 0.000



Stability summary - winner: *Q*; margin: 67 meV/atom.